Entry from Alexandria via LeMat-Bulk: a relaxed structure of Li7Mn2Co3O12 (PBE+U).

energy above the lowest structure with this stoichiometry = 53 meV/atom
space group = P1
DFT total energy = -140.25 eV per formula unit
spin magnetization = 12.0 μB per formula unit

```
24
Lattice="2.935 0.009 0.023 0.084 5.055 -0.029 0.520 0.496 14.289" Properties=species:S:1:pos:R:3 pbc="T T T"
O 3.050 1.900 6.080
O 1.943 4.765 13.051
O 1.649 2.756 3.476
O 1.686 1.301 8.363
O 1.707 4.237 6.112
O 1.649 0.785 1.163
O 0.480 0.578 10.798
O 3.405 2.035 12.997
O 2.021 2.809 10.718
O 0.379 3.540 8.337
O 3.138 5.079 3.439
O 0.206 3.551 1.260
Co 1.705 2.787 7.067
Co 1.940 1.289 11.889
Co 0.388 2.047 9.531
Li 1.647 1.096 4.800
Li 3.201 5.280 7.140
Li 2.021 3.003 14.231
Li 0.169 1.803 2.448
Li 3.123 3.464 4.768
Li 0.506 3.797 11.843
Li 1.825 4.538 9.452
Mn 0.545 0.505 14.252
Mn 1.673 4.264 2.457
```